The following is a DFT calculation (GGA-PBE) of an optimized crystal structure of AlAgSn2.

```
AlAgSn2
1.0
-3.9307 3.9307 3.0630
3.9307 -3.9307 3.0630
3.9307 3.9307 -3.0630
Al Ag Sn
2 2 4
Direct
0.0000 0.0000 0.0000
0.7500 0.2500 0.5000
0.2500 0.7500 0.5000
0.5000 0.5000 0.0000
0.1242 0.6250 0.9992
0.3750 0.3742 0.4992
0.6258 0.1250 0.0008
0.8750 0.8758 0.5008
```

Properties
As for the space group: No. 122. As for the crystal system: tetragonal.



The following is a DFT calculation (GGA-PBE) of an optimized crystal structure of BaZn5Au2.

```
BaZn5Au2
1.0
-2.1581 3.7183 5.1954
2.1581 -3.7183 5.1954
2.1581 3.7183 -5.1954
Ba Zn Au
1 5 2
Direct
0.0000 0.0000 0.0000
0.1790 0.3595 0.8195
0.4600 0.6405 0.8195
0.5000 0.0000 0.5000
0.5400 0.3595 0.1805
0.8210 0.6405 0.1805
0.2530 0.7530 0.5000
0.7470 0.2470 0.5000
```

Properties
As for the space group: No. 71. As for the crystal system: orthorhombic.



no.,formation energy from the elements (meV/atom),DFT total energy (eV/atom)
1,194,-3.456
2,-300,-2.156